CdInSi2: optimized geometry, PBE-GGA.

Cell: 3.5106 4.8332 9.8679 Å, 90.00 90.00 90.00°
Space group Cmm2 (No. 35)
Unique sites:
1 Cd 0.0000 0.0000 0.0000
2 In 0.0000 0.5000 0.3021
3 Si 0.0000 0.0000 0.5645
4 Si 0.0000 0.5000 0.7429

offset from the most stable computed form = 108 meV/atom
raw formation energy = 0.380 eV per atom


TmAl3Ni2: optimized geometry, PBE-GGA.

Cell: 5.2339 5.2339 3.9746 Å, 90.00 90.00 120.00°
Space group P6/mmm (No. 191)
Unique sites:
1 Tm 0.0000 0.0000 0.0000
2 Al 0.0000 0.5000 0.5000
3 Ni 0.3333 0.6667 0.0000

formation enthalpy at 0 K = -0.631 eV/atom


SbIr: optimized geometry, PBE-GGA.

Cell: 12.2460 3.8718 5.3660 Å, 90.00 113.63 90.00°
Space group Cm (No. 8)
Unique sites:
1 Sb 0.0000 0.0000 0.0000
2 Sb 0.1100 0.5000 0.6190
3 Sb 0.3056 0.0000 0.1052
4 Ir 0.1695 0.5000 0.1788
5 Ir 0.2765 0.0000 0.5969
6 Ir 0.4244 0.5000 0.4513

raw formation energy = 0.034 eV per atom


Pm3As2Se2: optimized geometry, PBE-GGA.

Cell: 15.2009 4.2269 7.4639 Å, 90.00 115.10 90.00°
Space group C2/m (No. 12)
Unique sites:
1 Pm 0.0000 0.0000 0.0000
2 Pm 0.2204 0.5000 0.7165
3 As 0.1410 0.5000 0.0166
4 Se 0.1240 0.0000 0.4343

raw formation energy = -1.387 eV per atom


| no. | raw total energy (eV per cell) |
| --- | --- |
| 1 | -26.0 |
| 2 | -31.0 |
| 3 | -77.5 |
| 4 | -80.5 |